VASP calculation (PBE-GGA) on an optimized crystal structure of YNpNiS4.

Its uncorrected formation energy is -1.300 eV per atom.

The structure belongs to space group P2_1/m (No. 11); the cell edges are 6.435, 5.657 and 7.657 Å and the angles 90.00°, 106.42° and 90.00°. Symmetry generates all atoms from Y at (0.234, 0.250, 0.433), Np at (0.254, 0.250, 0.940), Ni at (0.260, 0.750, 0.177), S at (0.069, 0.750, 0.382), S at (0.072, 0.750, 0.893) and S at (0.485, 0.511, 0.745).